{"formula": "LaTb3Pm6Er2", "functional": "PBE", "state": "relaxed", "crystal_system": "monoclinic", "volume_a3_per_fu": 400, "space_group": "C2/m (12)", "lattice_angstrom": [[-1.408, 1.733, -5.854], [-2.599, -5.146, 2.453], [-7.626, 7.604, 5.203]], "species": ["Er", "Er", "Tb", "Tb", "Tb", "La", "Pm", "Pm", "Pm", "Pm", "Pm", "Pm"], "fractional_positions": [[0.334, 0.666, 0.000], [0.666, 0.334, 0.000], [0.500, 0.500, 0.500], [0.833, 0.167, 0.500], [0.167, 0.833, 0.500], [0.000, 0.000, 0.000], [0.750, 0.750, 0.251], [0.916, 0.581, 0.749], [0.419, 0.084, 0.251], [0.250, 0.250, 0.749], [0.581, 0.916, 0.749], [0.084, 0.419, 0.251]]}


{"formula": "La2TbZnS5", "functional": "PBE", "state": "relaxed", "crystal_system": "orthorhombic", "formation_energy_uncorrected_ev_per_atom": -1.8433, "volume_a3_per_fu": 204, "space_group": "Cmc2_1 (36)", "lattice_angstrom": [[-2.539, 2.004, -2.246], [-4.934, -6.455, 3.270], [-2.865, 6.988, 9.473]], "species": ["S", "S", "S", "S", "S", "S", "S", "S", "S", "S", "Zn", "Zn", "La", "La", "La", "La", "Tb", "Tb"], "fractional_positions": [[0.507, 0.013, 0.267], [0.354, 0.708, 0.008], [0.646, 0.292, 0.508], [0.316, 0.632, 0.359], [0.295, 0.589, 0.677], [0.705, 0.411, 0.177], [0.684, 0.368, 0.859], [0.035, 0.071, 0.041], [0.493, 0.987, 0.767], [0.965, 0.929, 0.541], [0.453, 0.906, 0.440], [0.547, 0.094, 0.940], [0.129, 0.259, 0.326], [0.871, 0.741, 0.826], [0.884, 0.768, 0.187], [0.116, 0.232, 0.687], [0.195, 0.391, 0.019], [0.805, 0.609, 0.519]]}


{"formula": "Tb4PmTh3S8", "functional": "PBE", "state": "relaxed", "crystal_system": "trigonal", "formation_energy_uncorrected_ev_per_atom": -1.9440, "volume_a3_per_fu": 357, "space_group": "R-3m (166)", "lattice_angstrom": [[-5.226, 5.504, -2.141], [-2.089, -4.459, -6.364], [-0.339, -3.165, 7.215]], "species": ["S", "S", "S", "S", "S", "S", "S", "S", "Th", "Th", "Th", "Tb", "Tb", "Tb", "Tb", "Pm"], "fractional_positions": [[0.747, 0.238, 0.493], [0.245, 0.238, 0.992], [0.253, 0.762, 0.507], [0.747, 0.238, 0.992], [0.246, 0.237, 0.491], [0.755, 0.762, 0.008], [0.754, 0.763, 0.509], [0.253, 0.762, 0.008], [0.000, 0.500, 0.500], [0.500, 0.500, 0.000], [0.500, 0.500, 0.500], [0.000, 0.000, 0.000], [0.500, 0.000, 0.500], [0.000, 0.000, 0.500], [0.500, 0.000, 0.000], [0.000, 0.500, 0.000]]}


Spin magnetization readings, ordered: 0.000; 0.000; 0.000 μB/f.u.
Calculated total energy readings, ordered: -56.24; -52.99; -109.65 eV/f.u.